52
Lattice="10.111 0.000 0.000 0.000 4.979 0.000 0.000 0.000 14.060" Properties=species:S:1:pos:R:3 comment="LiNi2P2O8, relaxed, DFT PBE with a Hubbard U" de_polymorph_mev_per_atom=36 density_g_cm3=2.9 total_magnetization_mub_per_fu=5.06 pbc="T T T"
Li 2.348 0.256 0.000
Li 2.708 0.256 7.030
Li 7.403 4.724 0.000
Li 7.763 4.724 7.030
Ni 0.367 2.759 14.037
Ni 2.402 0.234 3.496
Ni 2.653 0.234 10.526
Ni 4.688 2.759 7.007
Ni 5.422 2.221 14.037
Ni 7.457 4.746 3.496
Ni 7.708 4.746 10.526
Ni 9.744 2.221 7.007
P 0.183 4.707 8.771
P 2.170 2.764 5.284
P 2.885 2.764 12.314
P 4.872 4.707 1.740
P 5.239 0.273 8.771
P 7.226 2.216 5.284
P 7.940 2.216 12.314
P 9.927 0.273 1.740
O 0.045 3.167 8.524
O 0.500 4.918 3.062
O 0.538 4.565 0.519
O 0.662 2.413 5.516
O 1.678 0.127 8.765
O 2.110 2.163 13.546
O 2.403 4.293 5.286
O 2.472 2.135 10.987
O 2.584 2.135 3.957
O 2.652 4.293 12.316
O 2.945 2.163 6.516
O 3.378 0.127 1.735
O 4.393 2.413 12.546
O 4.517 4.565 7.549
O 4.555 4.918 10.092
O 5.010 3.167 1.493
O 5.100 1.812 8.524
O 5.555 0.061 3.062
O 5.594 0.414 0.519
O 5.718 2.567 5.516
O 6.733 4.852 8.765
O 7.166 2.817 13.546
O 7.459 0.686 5.286
O 7.527 2.844 10.987
O 7.639 2.844 3.957
O 7.707 0.686 12.316
O 8.000 2.817 6.516
O 8.433 4.852 1.735
O 9.448 2.567 12.546
O 9.572 0.414 7.549
O 9.611 0.061 10.092
O 10.066 1.812 1.493